(a)
Computed, not measured: an optimized crystal structure of PrGePt4 at the PBE-GGA level of DFT.

It has space group F-43m (No. 216), with a = 7.6795 Å, b = 7.6795 Å, c = 7.6795 Å, α = 90.00°, β = 90.00° and γ = 90.00°. Symmetry generates all atoms from Pr at (0.0000, 0.0000, 0.0000), Ge at (0.2500, 0.2500, 0.7500) and Pt at (0.1246, 0.1246, 0.3754).

For the magnetic moment, the calculation gives 0.000 μB/cell. The crystal system is cubic. For the density of states at the Fermi level, the calculation gives 18.7 states/eV/cell.

=====

(b)
Computed, not measured: an optimized crystal structure of PrGePt4 at the PBE-GGA level of DFT.

It has space group Pmma (No. 51), with a = 7.7454 Å, b = 4.0328 Å, c = 7.0787 Å, α = 90.00°, β = 90.00° and γ = 90.00°. Symmetry generates all atoms from Pr at (0.2500, 0.0000, 0.1351), Ge at (0.2500, 0.0000, 0.7172), Pt at (0.0000, 0.0000, 0.5000), Pt at (0.0504, 0.5000, 0.8065) and Pt at (0.2500, 0.5000, 0.4547).

For the magnetic moment, the calculation gives 0.000 μB/cell. The crystal system is orthorhombic. For the density of states at the Fermi level, the calculation gives 3.0 states/eV/cell.

=====

Which of them is the most stable? Correct choice: (b).

=====

(a)
Computed, not measured: an optimized crystal structure of PrGe2Pt4 at the PBE-GGA level of DFT.

It has space group Pnma (No. 62), with a = 16.7212 Å, b = 4.0819 Å, c = 7.5968 Å, α = 90.00°, β = 90.00° and γ = 90.00°. Symmetry generates all atoms from Pr at (0.1506, 0.2500, 0.0764), Ge at (0.0164, 0.7500, 0.2527), Ge at (0.1809, 0.2500, 0.6213), Pt at (0.0406, 0.7500, 0.9024), Pt at (0.0527, 0.2500, 0.4383), Pt at (0.1723, 0.7500, 0.4028) and Pt at (0.2127, 0.7500, 0.8175).

For the magnetic moment, the calculation gives 0.000 μB/cell. The crystal system is orthorhombic. For the density of states at the Fermi level, the calculation gives 11.2 states/eV/cell.

=====

(b)
Computed, not measured: an optimized crystal structure of PrGe2Pt4 at the PBE-GGA level of DFT.

It has space group R-3m (No. 166, hexagonal axes), with a = 4.2913 Å, b = 4.2913 Å, c = 24.9220 Å, α = 90.00°, β = 90.00° and γ = 120.00°. Symmetry generates all atoms from Pr at (0.0000, 0.0000, 0.0000), Ge at (0.0000, 0.0000, 0.2392), Pt at (0.0000, 0.0000, 0.1376) and Pt at (0.0000, 0.0000, 0.4127).

For the magnetic moment, the calculation gives 0.000 μB/cell. The crystal system is trigonal. For the density of states at the Fermi level, the calculation gives 8.6 states/eV/cell.

=====

Which of them is the most stable? Correct choice: (b).

=====

(a)
Computed, not measured: an optimized crystal structure of Pr2Ge3Pt5 at the PBE-GGA level of DFT.

It has space group P-4m2 (No. 115), with a = 4.2053 Å, b = 4.2053 Å, c = 11.3616 Å, α = 90.00°, β = 90.00° and γ = 90.00°. Symmetry generates all atoms from Pr at (0.0000, 0.5000, 0.2207), Ge at (0.0000, 0.5000, 0.6327), Ge at (0.5000, 0.5000, 0.5000), Pt at (0.0000, 0.0000, 0.0000), Pt at (0.0000, 0.0000, 0.5000), Pt at (0.0000, 0.5000, 0.8426) and Pt at (0.5000, 0.5000, 0.0000).

For the magnetic moment, the calculation gives 0.000 μB/cell. The crystal system is tetragonal. For the density of states at the Fermi level, the calculation gives 4.3 states/eV/cell.

=====

(b)
Computed, not measured: an optimized crystal structure of Pr2Ge3Pt5 at the PBE-GGA level of DFT.

It has space group Cmc2_1 (No. 36), with a = 4.3009 Å, b = 24.9022 Å, c = 7.3989 Å, α = 90.00°, β = 90.00° and γ = 90.00°. Symmetry generates all atoms from Pr at (0.0000, 0.0415, 0.0000), Pr at (0.0000, 0.3330, 0.2177), Ge at (0.0000, 0.1266, 0.3001), Ge at (0.0000, 0.2648, 0.7486), Ge at (0.0000, 0.4618, 0.1802), Pt at (0.0000, 0.0838, 0.6008), Pt at (0.0000, 0.2080, 0.0325), Pt at (0.0000, 0.2180, 0.4428), Pt at (0.0000, 0.3616, 0.6227) and Pt at (0.0000, 0.4524, 0.8405).

For the magnetic moment, the calculation gives 0.000 μB/cell. The crystal system is orthorhombic. For the density of states at the Fermi level, the calculation gives 16.9 states/eV/cell.

=====

Which of them is the most stable? Correct choice: (b).

=====

(a)
Computed, not measured: an optimized crystal structure of PrSmGePt at the PBE-GGA level of DFT.

It has space group Amm2 (No. 38), with a = 4.3197 Å, b = 4.1161 Å, c = 11.2302 Å, α = 90.00°, β = 90.00° and γ = 90.00°. Symmetry generates all atoms from Pr at (0.0000, 0.0000, 0.0000), Sm at (0.5000, 0.0000, 0.7232), Ge at (0.5000, 0.0000, 0.4349) and Pt at (0.0000, 0.0000, 0.2745).

For the magnetic moment, the calculation gives 0.000 μB/cell. The crystal system is orthorhombic. For the density of states at the Fermi level, the calculation gives 4.2 states/eV/cell.

=====

(b)
Computed, not measured: an optimized crystal structure of PrSmGePt at the PBE-GGA level of DFT.

It has space group F-43m (No. 216), with a = 7.3031 Å, b = 7.3031 Å, c = 7.3031 Å, α = 90.00°, β = 90.00° and γ = 90.00°. Symmetry generates all atoms from Pr at (0.0000, 0.0000, 0.0000), Sm at (0.0000, 0.0000, 0.5000), Ge at (0.2500, 0.2500, 0.2500) and Pt at (0.2500, 0.2500, 0.7500).

For the magnetic moment, the calculation gives 0.000 μB/cell. The crystal system is cubic. For the density of states at the Fermi level, the calculation gives 5.5 states/eV/cell.

=====

Which of them is the most stable? Correct choice: (a).

=====

(a)
Computed, not measured: an optimized crystal structure of TbPrGePt at the PBE-GGA level of DFT.

It has space group Amm2 (No. 38), with a = 4.2976 Å, b = 4.0588 Å, c = 11.1892 Å, α = 90.00°, β = 90.00° and γ = 90.00°. Symmetry generates all atoms from Tb at (0.0000, 0.0000, 0.0000), Pr at (0.5000, 0.0000, 0.2767), Ge at (0.0000, 0.0000, 0.7096) and Pt at (0.5000, 0.0000, 0.5493).

For the magnetic moment, the calculation gives 0.000 μB/cell. The crystal system is orthorhombic. For the density of states at the Fermi level, the calculation gives 4.3 states/eV/cell.

=====

(b)
Computed, not measured: an optimized crystal structure of TbPrGePt at the PBE-GGA level of DFT.

It has space group F-43m (No. 216), with a = 7.2476 Å, b = 7.2476 Å, c = 7.2476 Å, α = 90.00°, β = 90.00° and γ = 90.00°. Symmetry generates all atoms from Tb at (0.0000, 0.0000, 0.0000), Pr at (0.0000, 0.0000, 0.5000), Ge at (0.2500, 0.2500, 0.7500) and Pt at (0.2500, 0.2500, 0.2500).

For the magnetic moment, the calculation gives 0.000 μB/cell. The crystal system is cubic. For the density of states at the Fermi level, the calculation gives 6.2 states/eV/cell.

=====

Which of them is the most stable? Correct choice: (a).

=====

(a)
Computed, not measured: an optimized crystal structure of PrYGePt at the PBE-GGA level of DFT.

It has space group Amm2 (No. 38), with a = 4.3101 Å, b = 4.0528 Å, c = 11.1472 Å, α = 90.00°, β = 90.00° and γ = 90.00°. Symmetry generates all atoms from Pr at (0.0000, 0.0000, 0.0000), Y at (0.5000, 0.0000, 0.7231), Ge at (0.5000, 0.0000, 0.4325) and Pt at (0.0000, 0.0000, 0.2733).

For the magnetic moment, the calculation gives 0.000 μB/cell. The crystal system is orthorhombic. For the density of states at the Fermi level, the calculation gives 4.8 states/eV/cell.

=====

(b)
Computed, not measured: an optimized crystal structure of PrYGePt at the PBE-GGA level of DFT.

It has space group F-43m (No. 216), with a = 7.2428 Å, b = 7.2428 Å, c = 7.2428 Å, α = 90.00°, β = 90.00° and γ = 90.00°. Symmetry generates all atoms from Pr at (0.0000, 0.0000, 0.0000), Y at (0.0000, 0.0000, 0.5000), Ge at (0.2500, 0.2500, 0.7500) and Pt at (0.2500, 0.2500, 0.2500).

For the magnetic moment, the calculation gives 0.000 μB/cell. The crystal system is cubic. For the density of states at the Fermi level, the calculation gives 6.2 states/eV/cell.

=====

Which of them is the most stable? Correct choice: (a).

=====

(a)
Computed, not measured: an optimized crystal structure of PrPuGe at the PBE-GGA level of DFT.

It has space group I4/mmm (No. 139), with a = 3.3916 Å, b = 3.3916 Å, c = 24.5047 Å, α = 90.00°, β = 90.00° and γ = 90.00°. Symmetry generates all atoms from Pr at (0.0000, 0.0000, 0.0750), Pu at (0.0000, 0.0000, 0.2310) and Ge at (0.0000, 0.0000, 0.3455).

For the magnetic moment, the calculation gives 0.000 μB/cell. The crystal system is tetragonal. For the density of states at the Fermi level, the calculation gives 15.5 states/eV/cell.

=====

(b)
Computed, not measured: an optimized crystal structure of PrPuGe at the PBE-GGA level of DFT.

It has space group Cmcm (No. 63), with a = 5.2592 Å, b = 11.4138 Å, c = 4.7326 Å, α = 90.00°, β = 90.00° and γ = 90.00°. Symmetry generates all atoms from Pr at (0.0000, 0.2345, 0.2500), Pu at (0.0000, 0.5000, 0.0000) and Ge at (0.0000, 0.0647, 0.7500).

For the magnetic moment, the calculation gives 7.571 μB/cell. The crystal system is orthorhombic. For the density of states at the Fermi level, the calculation gives 24.1 states/eV/cell.

=====

Which of them is the most stable? Correct choice: (a).

=====

(a)
Computed, not measured: an optimized crystal structure of PrPuGe at the PBE-GGA level of DFT.

It has space group P3m1 (No. 156), with a = 4.9150 Å, b = 4.9150 Å, c = 3.7999 Å, α = 90.00°, β = 90.00° and γ = 120.00°. Symmetry generates all atoms from Pr at (0.0000, 0.0000, 0.0000), Pu at (0.6667, 0.3333, 0.4185) and Ge at (0.3333, 0.6667, 0.6594).

For the magnetic moment, the calculation gives 6.044 μB/cell. The crystal system is trigonal. For the density of states at the Fermi level, the calculation gives 7.4 states/eV/cell.

=====

(b)
Computed, not measured: an optimized crystal structure of PrPuGe at the PBE-GGA level of DFT.

It has space group F-43m (No. 216), with a = 7.1318 Å, b = 7.1318 Å, c = 7.1318 Å, α = 90.00°, β = 90.00° and γ = 90.00°. Symmetry generates all atoms from Pr at (0.0000, 0.0000, 0.0000), Pu at (0.0000, 0.0000, 0.5000) and Ge at (0.2500, 0.2500, 0.2500).

For the magnetic moment, the calculation gives 27.593 μB/cell. The crystal system is cubic. For the density of states at the Fermi level, the calculation gives 36.7 states/eV/cell.

=====

Which of them is the most stable? Correct choice: (b).

=====

(a)
Computed, not measured: an optimized crystal structure of PrPu2Ge at the PBE-GGA level of DFT.

It has space group P4/mmm (No. 123), with a = 4.4967 Å, b = 4.4967 Å, c = 5.0147 Å, α = 90.00°, β = 90.00° and γ = 90.00°. Symmetry generates all atoms from Pr at (0.0000, 0.0000, 0.0000), Pu at (0.0000, 0.5000, 0.5000) and Ge at (0.5000, 0.5000, 0.0000).

For the magnetic moment, the calculation gives 11.981 μB/cell. The crystal system is tetragonal. For the density of states at the Fermi level, the calculation gives 10.1 states/eV/cell.

=====

(b)
Computed, not measured: an optimized crystal structure of PrPu2Ge at the PBE-GGA level of DFT.

It has space group Fm-3m (No. 225), with a = 7.4271 Å, b = 7.4271 Å, c = 7.4271 Å, α = 90.00°, β = 90.00° and γ = 90.00°. Symmetry generates all atoms from Pr at (0.0000, 0.0000, 0.0000), Pu at (0.2500, 0.2500, 0.2500) and Ge at (0.0000, 0.0000, 0.5000).

For the magnetic moment, the calculation gives 53.752 μB/cell. The crystal system is cubic. For the density of states at the Fermi level, the calculation gives 53.2 states/eV/cell.

=====

Which of them is the most stable? Correct choice: (a).

=====

(a)
Computed, not measured: an optimized crystal structure of Pr3Ge4Rh2 at the PBE-GGA level of DFT.

It has space group C2/m (No. 12), with a = 11.3551 Å, b = 4.3321 Å, c = 8.4644 Å, α = 90.00°, β = 109.30° and γ = 90.00°. Symmetry generates all atoms from Pr at (0.0000, 0.0000, 0.0000), Pr at (0.1184, 0.5000, 0.6931), Ge at (0.0997, 0.0000, 0.3962), Ge at (0.2132, 0.5000, 0.0764) and Rh at (0.1941, 0.5000, 0.3666).

For the magnetic moment, the calculation gives 0.000 μB/cell. The crystal system is monoclinic. For the density of states at the Fermi level, the calculation gives 9.2 states/eV/cell.

=====

(b)
Computed, not measured: an optimized crystal structure of Pr3Ge4Rh2 at the PBE-GGA level of DFT.

It has space group C2/m (No. 12), with a = 11.4123 Å, b = 4.2390 Å, c = 8.5522 Å, α = 90.00°, β = 102.49° and γ = 90.00°. Symmetry generates all atoms from Pr at (0.0000, 0.0000, 0.0000), Pr at (0.1674, 0.5000, 0.6576), Ge at (0.0522, 0.0000, 0.3827), Ge at (0.2316, 0.5000, 0.0767) and Rh at (0.1022, 0.5000, 0.2714).

For the magnetic moment, the calculation gives 0.000 μB/cell. The crystal system is monoclinic. For the density of states at the Fermi level, the calculation gives 13.1 states/eV/cell.

=====

Which of them is the most stable? Correct choice: (a).

=====

(a)
Computed, not measured: an optimized crystal structure of PrGe2Rh4 at the PBE-GGA level of DFT.

It has space group P4_2/mnm (No. 136), with a = 7.7941 Å, b = 7.7941 Å, c = 3.9156 Å, α = 90.00°, β = 90.00° and γ = 90.00°. Symmetry generates all atoms from Pr at (0.0000, 0.0000, 0.0000), Ge at (0.2258, 0.2258, 0.5000) and Rh at (0.0781, 0.6602, 0.5000).

For the magnetic moment, the calculation gives 0.000 μB/cell. The crystal system is tetragonal. For the density of states at the Fermi level, the calculation gives 10.3 states/eV/cell.

=====

(b)
Computed, not measured: an optimized crystal structure of PrGe2Rh4 at the PBE-GGA level of DFT.

It has space group Pnma (No. 62), with a = 17.0493 Å, b = 4.1882 Å, c = 6.6176 Å, α = 90.00°, β = 90.00° and γ = 90.00°. Symmetry generates all atoms from Pr at (0.1381, 0.2500, 0.0035), Ge at (0.0380, 0.7500, 0.2665), Ge at (0.2166, 0.2500, 0.5258), Rh at (0.0303, 0.7500, 0.8576), Rh at (0.0731, 0.2500, 0.4914), Rh at (0.1852, 0.7500, 0.3160) and Rh at (0.1952, 0.7500, 0.7288).

For the magnetic moment, the calculation gives 0.000 μB/cell. The crystal system is orthorhombic. For the density of states at the Fermi level, the calculation gives 13.6 states/eV/cell.

=====

Which of them is the most stable? Correct choice: (a).